# FeOsF2 | Alexandria via LeMat-Bulk | GGA+U | optimized geometry
data_FeOsF2
_space_group_name_H-M_alt 'F m -3 m'
_space_group_IT_number 225
_space_group_name_Hall '-F 4 2 3'
_cell_length_a 5.932
_cell_length_b 5.932
_cell_length_c 5.932
_cell_angle_alpha 90.00
_cell_angle_beta 90.00
_cell_angle_gamma 90.00
loop_
_atom_site_label
_atom_site_fract_x
_atom_site_fract_y
_atom_site_fract_z
Fe1 0.000 0.000 0.000
Os1 0.000 0.000 0.500
F1 0.250 0.250 0.250
# Relative energy among the computed polymorphs: 0.958 eV per atom
# Total moment: 6.70 μB/f.u.